No. 1
Entry from Alexandria: a relaxed structure of Ce3FeSi3 (PBE).

abc: 4.0913 5.7427 13.0575
angles: 76.12 80.99 69.13
Fractional positions:
1 Si 0.9449 0.8692 0.2411
2 Si 0.0982 0.8693 0.9343
3 Si 0.0551 0.1308 0.7589
4 Fe 0.7522 0.1238 0.3717
5 Si 0.9018 0.1307 0.0657
6 Ce 0.4745 0.6540 0.3970
7 Ce 0.5255 0.3460 0.6030
8 Fe 0.2478 0.8762 0.6283
9 Ce 0.2435 0.2914 0.2216
10 Si 0.8143 0.8308 0.5406
11 Si 0.1857 0.1692 0.4594
12 Ce 0.7565 0.7086 0.7784
13 Ce 0.6142 0.6719 0.0997
14 Ce 0.3858 0.3281 0.9003

Summary:
N(E_F), states/eV/atom: 1.57
Formation energy from raw total energies, kJ per mole of atoms: -57

No. 2
Entry from Alexandria: a relaxed structure of PmDy3 (PBE).

abc: 6.1842 6.1842 6.1842
angles: 131.87 131.87 70.44
Fractional positions:
1 Dy 0.7500 0.2500 0.5000
2 Dy 0.2500 0.7500 0.5000
3 Dy 0.5000 0.5000 0.0000
4 Pm 0.0000 0.0000 0.0000

Summary:
Offset from the most stable computed form, meV/atom: 2.8
Energy of formation from the pure elements, eV/atom: 0.016
N(E_F), states/eV/atom: 1.30

No. 3
Entry from Alexandria: a relaxed structure of GeMoCl3 (PBE).

abc: 5.1647 5.1647 5.1647
angles: 90.00 90.00 90.00
Fractional positions:
1 Ge 0.0000 0.0000 0.0000
2 Mo 0.5000 0.5000 0.5000
3 Cl 0.0000 0.0000 0.5000
4 Cl 0.5000 0.0000 0.0000
5 Cl 0.0000 0.5000 0.0000

Summary:
Offset from the most stable computed form, meV/atom: 167.0
N(E_F), states/eV/atom: 0.02
Formation energy from raw total energies, kJ per mole of atoms: 27

No. 4
Entry from Alexandria: a relaxed structure of BeNbCu (PBE).

abc: 4.7526 4.8024 4.7532
angles: 59.65 91.00 120.35
Fractional positions:
1 Cu 0.3530 0.5775 0.6892
2 Nb 0.9841 0.8277 0.8201
3 Be 0.3531 0.0776 0.1891
4 Cu 0.8530 0.0775 0.1892
5 Be 0.3531 0.5776 0.1891
6 Nb 0.7222 0.3276 0.5581

Summary:
Offset from the most stable computed form, meV/atom: 1.4
Energy of formation from the pure elements, eV/atom: -0.081
N(E_F), states/eV/atom: 1.24

No. 5
Entry from Alexandria: a relaxed structure of La4CoHgTe (PBE).

abc: 7.1640 7.1098 9.3167
angles: 90.00 112.61 90.00
Fractional positions:
1 La 0.0000 0.5000 0.5000
2 La 0.9289 0.2500 0.8577
3 La 0.4211 0.7500 0.8421
4 La 0.5000 0.0000 0.5000
5 Hg 0.8865 0.7500 0.7730
6 Te 0.6105 0.7500 0.2210
7 Co 0.2479 0.7500 0.4958
8 Te 0.3895 0.2500 0.7790
9 La 0.5000 0.5000 0.5000
10 Co 0.7521 0.2500 0.5042
11 La 0.0000 0.0000 0.5000
12 La 0.0711 0.7500 0.1423
13 Hg 0.1135 0.2500 0.2270
14 La 0.5789 0.2500 0.1579

Summary:
N(E_F), states/eV/atom: 0.95
Formation energy from raw total energies, kJ per mole of atoms: -57

No. 6
Entry from Alexandria: a relaxed structure of K2Rb2IO6 (PBE).

abc: 6.3607 6.3607 6.6991
angles: 100.98 100.98 115.43
Fractional positions:
1 K 0.3465 0.6535 0.5000
2 O 0.1653 0.1653 0.3218
3 Rb 0.1816 0.8184 0.0000
4 Rb 0.8184 0.1816 0.0000
5 I 0.0000 0.0000 0.5000
6 K 0.6535 0.3465 0.5000
7 O 0.8347 0.8347 0.6782
8 O 0.3045 0.0516 0.6753
9 O 0.9484 0.6955 0.3247
10 O 0.6955 0.9484 0.3247
11 O 0.0516 0.3045 0.6753

Summary:
N(E_F), states/eV/atom: 0.89
Formation energy from raw total energies, kJ per mole of atoms: -104

No. 7
Entry from Alexandria: a relaxed structure of NaTmCN2 (PBE).

abc: 5.3864 4.5858 6.9992
angles: 90.00 90.00 90.00
Fractional positions:
1 Na 0.1251 0.5000 0.7500
2 Na 0.8749 0.5000 0.2500
3 C 0.0000 0.0000 0.5000
4 N 0.2246 0.0000 0.9553
5 C 0.0000 0.0000 0.0000
6 N 0.2246 0.0000 0.5447
7 Tm 0.4388 0.0000 0.2500
8 Tm 0.5612 0.0000 0.7500
9 N 0.7754 0.0000 0.0447
10 N 0.7754 0.0000 0.4553

Summary:
N(E_F), states/eV/atom: 0.26
Formation energy from raw total energies, kJ per mole of atoms: -35

No. 8
Entry from Alexandria: a relaxed structure of Sm6Er2Pu (PBE).

abc: 7.0223 8.6082 14.9712
angles: 139.07 90.00 90.00
Fractional positions:
1 Sm 0.4999 0.2470 0.6720
2 Sm 0.5001 0.7530 0.3280
3 Pu 0.0000 0.0000 0.5000
4 Er 0.0000 0.3009 0.2672
5 Pu 0.5000 0.5000 0.0000
6 Sm 0.7444 0.2473 0.4502
7 Sm 0.2444 0.2527 0.0498
8 Sm 0.2443 0.7474 0.9502
9 Er 0.5000 0.1991 0.2328
10 Er 0.5000 0.8009 0.7672
11 Sm 0.9999 0.2530 0.8280
12 Sm 0.2557 0.2474 0.4502
13 Sm 0.7556 0.7473 0.9502
14 Sm 0.7557 0.2526 0.0498
15 Sm 0.7443 0.7526 0.5498
16 Er 0.0000 0.6991 0.7328
17 Sm 0.2556 0.7527 0.5498
18 Sm 0.0001 0.7470 0.1720

Summary:
Energy of formation from the pure elements, eV/atom: 0.187
N(E_F), states/eV/atom: 2.00

No. 9
Entry from Alexandria: a relaxed structure of Tl2FeOs (PBE).

abc: 5.3204 5.3204 5.3204
angles: 135.18 135.18 65.25
Fractional positions:
1 Tl 0.0000 0.0000 0.0000
2 Tl 0.2500 0.7500 0.5000
3 Os 0.7500 0.2500 0.5000
4 Fe 0.5000 0.5000 0.0000

Summary:
Offset from the most stable computed form, meV/atom: 403.7
Energy of formation from the pure elements, eV/atom: 0.950
N(E_F), states/eV/atom: 0.77

No. 10
Entry from Alexandria: a relaxed structure of Ag6PdAu12 (PBE).

abc: 7.7553 7.7553 7.7553
angles: 110.90 110.90 110.90
Fractional positions:
1 Au 0.3656 0.0506 0.5767
2 Au 0.2591 0.8929 0.8431
3 Au 0.4233 0.6344 0.9494
4 Au 0.8431 0.2591 0.8929
5 Au 0.8929 0.8431 0.2591
6 Au 0.6344 0.9494 0.4233
7 Au 0.9494 0.4233 0.6344
8 Ag 0.6842 0.5270 0.7885
9 Au 0.5767 0.3656 0.0506
10 Au 0.1569 0.7409 0.1071
11 Ag 0.5270 0.7885 0.6842
12 Pd 0.0000 0.0000 0.0000
13 Au 0.1071 0.1569 0.7409
14 Au 0.7409 0.1071 0.1569
15 Ag 0.7885 0.6842 0.5270
16 Ag 0.4730 0.2115 0.3158
17 Ag 0.3158 0.4730 0.2115
18 Ag 0.2115 0.3158 0.4730
19 Au 0.0506 0.5767 0.3656

Summary:
Energy of formation from the pure elements, eV/atom: -0.039
N(E_F), states/eV/atom: 0.25

No. 11
Entry from Alexandria: a relaxed structure of MgCrTe2 (PBE).

abc: 3.8293 4.7725 8.0145
angles: 57.41 90.00 90.00
Fractional positions:
1 Te 0.0000 0.2593 0.4922
2 Cr 0.5000 0.2500 0.2500
3 Mg 0.5000 0.7500 0.7500
4 Te 0.0000 0.2407 0.0078

Summary:
N(E_F), states/eV/atom: 0.11
Formation energy from raw total energies, kJ per mole of atoms: -16

No. 12
Entry from Alexandria: a relaxed structure of LuHg (PBE).

abc: 4.2613 4.2613 4.2613
angles: 60.00 60.00 60.00
Fractional positions:
1 Lu 0.5000 0.5000 0.5000
2 Hg 0.0000 0.0000 0.0000

Summary:
Energy of formation from the pure elements, eV/atom: -0.204
N(E_F), states/eV/atom: 0.94

No. 13
Entry from Alexandria: a relaxed structure of Ta4Ru3 (PBE).

abc: 5.1739 5.1739 5.0140
angles: 90.00 90.00 120.00
Fractional positions:
1 Ta 0.6667 0.3333 0.5000
2 Ru 0.5000 0.5000 0.0000
3 Ta 0.0000 0.0000 0.7509
4 Ru 0.0000 0.5000 0.0000
5 Ru 0.5000 0.0000 0.0000
6 Ta 0.3333 0.6667 0.5000
7 Ta 0.0000 0.0000 0.2491

Summary:
Offset from the most stable computed form, meV/atom: 83.2
Energy of formation from the pure elements, eV/atom: -0.160
N(E_F), states/eV/atom: 1.75

No. 14
Entry from Alexandria: a relaxed structure of MgGaPb2 (PBE).

abc: 4.4810 4.8313 4.8313
angles: 90.00 90.00 90.00
Fractional positions:
1 Mg 0.5000 0.5000 0.5000
2 Ga 0.5000 0.0000 0.0000
3 Pb 0.0000 0.0000 0.5000
4 Pb 0.0000 0.5000 0.0000

Summary:
Offset from the most stable computed form, meV/atom: 0.0
Energy of formation from the pure elements, eV/atom: 0.014
N(E_F), states/eV/atom: 0.45

No. 15
Entry from Alexandria: a relaxed structure of NiSn3Pd (PBE).

abc: 6.4453 6.4453 12.0699
angles: 71.45 71.45 64.03
Fractional positions:
1 Pd 0.2440 0.9331 0.3194
2 Sn 0.8367 0.2512 0.4432
3 Pd 0.7560 0.0669 0.6806
4 Sn 0.2512 0.8367 0.9432
5 Sn 0.3323 0.3536 0.3249
6 Ni 0.7885 0.2115 0.2500
7 Sn 0.3536 0.3323 0.8249
8 Sn 0.6912 0.8333 0.3773
9 Sn 0.8333 0.6912 0.8773
10 Pd 0.9331 0.2440 0.8194
11 Sn 0.6677 0.6464 0.6751
12 Sn 0.1667 0.3088 0.1227
13 Ni 0.2115 0.7885 0.7500
14 Ni 0.0000 0.5000 0.5000
15 Sn 0.3088 0.1667 0.6227
16 Sn 0.7488 0.1633 0.0568
17 Sn 0.6464 0.6677 0.1751
18 Sn 0.1633 0.7488 0.5568
19 Ni 0.5000 0.0000 0.0000
20 Pd 0.0669 0.7560 0.1806

Summary:
Offset from the most stable computed form, meV/atom: 28.4
Energy of formation from the pure elements, eV/atom: -0.215
N(E_F), states/eV/atom: 0.47

No. 16
Entry from Alexandria: a relaxed structure of Th4HPb2 (PBE).

abc: 4.6774 4.6774 9.5159
angles: 104.23 104.23 90.00
Fractional positions:
1 Th 0.0000 0.5000 0.0000
2 Th 0.8238 0.8238 0.6476
3 Pb 0.6396 0.6396 0.2792
4 Th 0.5000 0.0000 0.0000
5 Pb 0.3604 0.3604 0.7208
6 Th 0.1762 0.1762 0.3524
7 H 0.0000 0.0000 0.0000

Summary:
Offset from the most stable computed form, meV/atom: 0.0
N(E_F), states/eV/atom: 0.61

No. 17
Entry from Alexandria: a relaxed structure of Pb2WSe (PBE).

abc: 3.2398 3.2398 9.1400
angles: 90.00 90.00 90.00
Fractional positions:
1 Pb 0.0000 0.0000 0.9468
2 Se 0.0000 0.0000 0.5714
3 Pb 0.5000 0.5000 0.2732
4 W 0.5000 0.5000 0.7086

Summary:
N(E_F), states/eV/atom: 0.96
Formation energy from raw total energies, kJ per mole of atoms: 27

No. 18
Entry from Alexandria: a relaxed structure of Ac4OsPt (PBE).

abc: 7.4900 7.4733 9.5282
angles: 106.06 106.13 107.09
Fractional positions:
1 Ac 0.4517 0.6967 0.3785
2 Pt 0.0763 0.3263 0.1526
3 Ac 0.3094 0.0509 0.1039
4 Ac 0.5483 0.3033 0.6215
5 Ac 0.9268 0.1818 0.3785
6 Os 0.5792 0.8292 0.1584
7 Ac 0.7945 0.5530 0.1039
8 Os 0.4208 0.1708 0.8416
9 Ac 0.6906 0.9491 0.8961
10 Ac 0.2055 0.4470 0.8961
11 Ac 0.0732 0.8182 0.6215
12 Pt 0.9237 0.6737 0.8474

Summary:
Energy of formation from the pure elements, eV/atom: -0.418
N(E_F), states/eV/atom: 0.83

No. 19
Entry from Alexandria: a relaxed structure of KMg14W (PBE).

abc: 6.4922 6.4922 8.6941
angles: 90.00 90.00 89.97
Fractional positions:
1 Mg 0.3750 0.6250 0.0000
2 Mg 0.8750 0.6250 0.0000
3 Mg 0.6043 0.3957 0.7468
4 Mg 0.1457 0.8543 0.2533
5 Mg 0.3750 0.1250 0.0000
6 Mg 0.6043 0.3957 0.2532
7 Mg 0.6044 0.8544 0.2533
8 Mg 0.1457 0.8543 0.7467
9 Mg 0.8749 0.6250 0.5000
10 Mg 0.6044 0.8544 0.7467
11 W 0.3750 0.6250 0.5000
12 Mg 0.8750 0.1250 0.0000
13 K 0.8750 0.1250 0.5000
14 Mg 0.3750 0.1251 0.5000
15 Mg 0.1456 0.3956 0.7467
16 Mg 0.1456 0.3956 0.2533

Summary:
Offset from the most stable computed form, meV/atom: 0.0
Energy of formation from the pure elements, eV/atom: 0.213
N(E_F), states/eV/atom: 0.58

No. 20
Entry from Alexandria: a relaxed structure of Be2CdPt (PBE).

abc: 4.0870 4.0870 4.6106
angles: 71.20 71.20 53.85
Fractional positions:
1 Cd 0.7500 0.7500 0.7500
2 Be 0.9547 0.9547 0.1575
3 Pt 0.2500 0.2500 0.2500
4 Be 0.5453 0.5453 0.3425

Summary:
Energy of formation from the pure elements, eV/atom: -0.208
N(E_F), states/eV/atom: 0.19

| no. | calculated volume (Å³/f.u.) | magnetic moment (μB per cell) | uncorrected energy (eV per atom) |
| --- | --- | --- | --- |
| 1 | 138.7 | 2.116 | -6.667 |
| 2 | 128.5 | 0.000 | -4.623 |
| 3 | 137.8 | 5.007 | -3.920 |
| 4 | 38.3 | 0.766 | -6.045 |
| 5 | 219.0 | 0.000 | -4.913 |
| 6 | 228.7 | 1.095 | -4.295 |
| 7 | 86.4 | 0.000 | -6.701 |
| 8 | 296.5 | 13.393 | -5.565 |
| 9 | 73.7 | 3.544 | -5.157 |
| 10 | 338.8 | 0.000 | -3.282 |
| 11 | 123.4 | 4.000 | -4.543 |
| 12 | 54.7 | 0.015 | -2.615 |
| 13 | 116.2 | 0.003 | -10.908 |
| 14 | 104.6 | 0.000 | -2.996 |
| 15 | 104.5 | 0.000 | -4.811 |
| 16 | 195.2 | 0.000 | -6.038 |
| 17 | 95.9 | 0.001 | -5.682 |
| 18 | 225.5 | 0.000 | -6.035 |
| 19 | 366.4 | 0.000 | -2.060 |
| 20 | 58.0 | 0.000 | -3.810 |